No. 1
Computed, not measured: Cs2PtSeS after structural relaxation at the PBE level of DFT.

Cell lengths 6.869, 6.869, 6.869 Å; angles 147.78, 77.88, 111.34 degrees
Element x y z (fractional)
Cs 0.193 0.000 0.193
Cs 0.807 0.000 0.807
Pt 0.481 0.481 0.000
Se 0.692 0.192 0.500
S 0.288 0.788 0.500

Properties
As for the density: 6.0 g/cm³. Its space group is Imm2. The calculation puts the electronic total energy at -19.85 eV/cell. The total magnetic moment is 0.00 μB/cell.

---

No. 2
Computed, not measured: LiZrInFe after structural relaxation at the PBE level of DFT.

Cell lengths 4.543, 4.543, 4.543 Å; angles 60.00, 60.00, 60.00 degrees
Element x y z (fractional)
Li 0.000 0.000 0.000
Zr 0.750 0.750 0.750
In 0.250 0.250 0.250
Fe 0.500 0.500 0.500

Properties
As for the density: 6.7 g/cm³. Its space group is F-43m. The calculation puts the electronic total energy at -21.88 eV/cell. As for the energy above the most stable polymorph in this dataset: 0 meV/atom. The total magnetic moment is 1.90 μB/cell.

---

No. 3
Computed, not measured: HoTaAsO after structural relaxation at the PBE level of DFT.

Cell lengths 3.941, 3.941, 8.966 Å; angles 90.00, 90.00, 90.00 degrees
Element x y z (fractional)
Ho 0.250 0.250 0.121
Ho 0.750 0.750 0.879
Ta 0.250 0.750 0.500
Ta 0.750 0.250 0.500
As 0.250 0.250 0.702
As 0.750 0.750 0.298
O 0.250 0.750 0.000
O 0.750 0.250 0.000

Properties
As for the density: 10.4 g/cm³. Its space group is P4/nmm. The calculation puts the electronic total energy at -66.86 eV/cell. As for the energy above the most stable polymorph in this dataset: 0 meV/atom. The total magnetic moment is 0.06 μB/cell.

---

No. 4
Computed, not measured: Sm2TlNiAu after structural relaxation at the PBE level of DFT.

Cell lengths 3.757, 7.750, 7.750 Å; angles 31.94, 90.00, 90.00 degrees
Element x y z (fractional)
Sm 0.000 0.000 0.000
Sm 0.000 0.267 0.267
Tl 0.500 0.640 0.640
Ni 0.500 0.829 0.829
Au 0.500 0.433 0.433

Properties
As for the density: 10.6 g/cm³. Its space group is Amm2. The calculation puts the electronic total energy at -23.36 eV/cell. The total magnetic moment is 0.00 μB/cell.

---

No. 5
Computed, not measured: LiTbPO after structural relaxation at the PBE level of DFT.

Cell lengths 3.500, 7.528, 5.686 Å; angles 90.00, 90.00, 90.00 degrees
Element x y z (fractional)
Li 0.000 0.082 0.000
Li 0.000 0.918 0.500
Tb 0.500 0.299 0.378
Tb 0.500 0.701 0.878
P 0.500 0.327 0.874
P 0.500 0.673 0.374
O 0.000 0.140 0.339
O 0.000 0.860 0.839

Properties
As for the density: 4.7 g/cm³. Its space group is Pmc2_1. The calculation puts the electronic total energy at -47.26 eV/cell. As for the energy above the most stable polymorph in this dataset: 109 meV/atom. The total magnetic moment is 0.00 μB/cell.

---

No. 6
Computed, not measured: BaAsOsO after structural relaxation at the PBE level of DFT.

Cell lengths 4.137, 4.137, 10.312 Å; angles 90.00, 90.00, 90.00 degrees
Element x y z (fractional)
Ba 0.250 0.250 0.138
Ba 0.750 0.750 0.862
As 0.250 0.250 0.634
As 0.750 0.750 0.366
Os 0.250 0.750 0.500
Os 0.750 0.250 0.500
O 0.250 0.750 0.000
O 0.750 0.250 0.000

Properties
As for the density: 7.9 g/cm³. Its space group is P4/nmm. The calculation puts the electronic total energy at -53.12 eV/cell. As for the energy above the most stable polymorph in this dataset: 0 meV/atom. The total magnetic moment is 0.00 μB/cell.

---

No. 7
Computed, not measured: Y2Lu4Cd3N3 after structural relaxation at the PBE level of DFT.

Cell lengths 5.940, 5.940, 15.850 Å; angles 101.01, 101.01, 60.01 degrees
Element x y z (fractional)
Y 0.035 0.872 0.601
Y 0.128 0.965 0.899
Y 0.872 0.035 0.101
Y 0.965 0.128 0.399
Lu 0.192 0.353 0.079
Lu 0.300 0.481 0.421
Lu 0.353 0.192 0.579
Lu 0.481 0.300 0.921
Lu 0.519 0.700 0.079
Lu 0.647 0.808 0.421
Lu 0.700 0.519 0.579
Lu 0.808 0.647 0.921
Cd 0.085 0.381 0.750
Cd 0.381 0.085 0.250
Cd 0.449 0.551 0.250
Cd 0.551 0.449 0.750
Cd 0.619 0.915 0.750
Cd 0.915 0.619 0.250
N 0.000 0.500 0.500
N 0.169 0.662 0.000
N 0.338 0.831 0.500
N 0.500 0.000 0.000
N 0.662 0.169 0.500
N 0.831 0.338 0.000

Properties
As for the density: 8.8 g/cm³. Its space group is C2/c. The calculation puts the electronic total energy at -140.35 eV/cell. The total magnetic moment is 2.40 μB/cell.

---

No. 8
Computed, not measured: ScBeCuSn after structural relaxation at the PBE level of DFT.

Cell lengths 4.482, 4.482, 4.482 Å; angles 60.00, 60.00, 60.00 degrees
Element x y z (fractional)
Sc 0.000 0.000 0.000
Be 0.750 0.750 0.750
Cu 0.250 0.250 0.250
Sn 0.500 0.500 0.500

Properties
As for the density: 6.2 g/cm³. Its space group is F-43m. The calculation puts the electronic total energy at -18.08 eV/cell. As for the energy above the most stable polymorph in this dataset: 0 meV/atom. The total magnetic moment is 0.00 μB/cell.

---

No. 9
Computed, not measured: HoTmSi2Pd after structural relaxation at the PBE level of DFT.

Cell lengths 5.612, 5.612, 10.025 Å; angles 115.73, 115.73, 44.32 degrees
Element x y z (fractional)
Ho 0.002 0.002 0.324
Ho 0.998 0.998 0.676
Tm 0.186 0.186 0.106
Tm 0.814 0.814 0.894
Si 0.367 0.367 0.434
Si 0.480 0.480 0.114
Si 0.520 0.520 0.886
Si 0.633 0.633 0.566
Pd 0.276 0.276 0.641
Pd 0.724 0.724 0.359

Properties
As for the density: 8.5 g/cm³. Its space group is C2/m. The calculation puts the electronic total energy at -59.41 eV/cell. As for the energy above the most stable polymorph in this dataset: 4 meV/atom. The total magnetic moment is 0.79 μB/cell.

---

No. 10
Computed, not measured: LaGeAuO3 after structural relaxation at the PBE level of DFT.

Cell lengths 7.407, 7.407, 7.697 Å; angles 90.00, 90.00, 156.66 degrees
Element x y z (fractional)
La 0.000 0.000 0.000
La 0.000 0.000 0.500
Ge 0.328 0.672 0.750
Ge 0.672 0.328 0.250
Au 0.349 0.651 0.250
Au 0.651 0.349 0.750
O 0.171 0.829 0.088
O 0.171 0.829 0.412
O 0.458 0.542 0.750
O 0.542 0.458 0.250
O 0.829 0.171 0.588
O 0.829 0.171 0.912

Properties
As for the density: 9.1 g/cm³. Its space group is Cmcm. The calculation puts the electronic total energy at -72.79 eV/cell. The total magnetic moment is 0.00 μB/cell.

---

No. 11
Computed, not measured: Sm4GeTe3 after structural relaxation at the PBE level of DFT.

Cell lengths 7.662, 7.662, 4.373 Å; angles 90.00, 90.00, 109.07 degrees
Element x y z (fractional)
Sm 0.226 0.226 0.500
Sm 0.235 0.765 0.000
Sm 0.765 0.235 0.000
Sm 0.774 0.774 0.500
Ge 0.000 0.000 0.000
Te 0.000 0.500 0.500
Te 0.500 0.000 0.500
Te 0.500 0.500 0.000

Properties
As for the density: 7.2 g/cm³. Its space group is Cmmm. The calculation puts the electronic total energy at -43.67 eV/cell. The total magnetic moment is 0.01 μB/cell.

---

No. 12
Computed, not measured: AcTmCo after structural relaxation at the PBE level of DFT.

Cell lengths 4.871, 4.871, 4.871 Å; angles 60.00, 60.00, 60.00 degrees
Element x y z (fractional)
Ac 0.000 0.000 0.000
Tm 0.250 0.250 0.250
Co 0.500 0.500 0.500

Properties
As for the density: 9.2 g/cm³. Its formation enthalpy at 0 K is 0.85 eV/atom. Its space group is F-43m. The calculation puts the electronic total energy at -13.13 eV/cell. As for the energy above the most stable polymorph in this dataset: 0 meV/atom. The total magnetic moment is 0.02 μB/cell.

---

No. 13
Computed, not measured: NdScPd after structural relaxation at the PBE level of DFT.

Cell lengths 4.826, 4.826, 4.826 Å; angles 60.00, 60.00, 60.00 degrees
Element x y z (fractional)
Nd 0.000 0.000 0.000
Sc 0.500 0.500 0.500
Pd 0.250 0.250 0.250

Properties
As for the density: 6.2 g/cm³. Its formation enthalpy at 0 K is -0.38 eV/atom. Its space group is F-43m. The calculation puts the electronic total energy at -17.40 eV/cell. As for the energy above the most stable polymorph in this dataset: 0 meV/atom. The total magnetic moment is 0.01 μB/cell.

---

No. 14
Computed, not measured: LiNiAsW after structural relaxation at the PBE level of DFT.

Cell lengths 4.246, 4.246, 4.246 Å; angles 60.00, 60.00, 60.00 degrees
Element x y z (fractional)
Li 0.000 0.000 0.000
Ni 0.500 0.500 0.500
As 0.250 0.250 0.250
W 0.750 0.750 0.750

Properties
As for the density: 10.0 g/cm³. Its space group is F-43m. The calculation puts the electronic total energy at -23.01 eV/cell. The total magnetic moment is 2.18 μB/cell.

---

No. 15
Computed, not measured: Cd2InSe2S after structural relaxation at the PBE level of DFT.

Cell lengths 7.598, 7.598, 7.714 Å; angles 99.83, 99.83, 120.76 degrees
Element x y z (fractional)
Cd 0.085 0.915 0.500
Cd 0.257 0.759 0.990
Cd 0.759 0.257 0.490
Cd 0.915 0.085 0.000
In 0.397 0.589 0.493
In 0.589 0.397 0.993
Se 0.300 0.466 0.112
Se 0.466 0.300 0.612
Se 0.799 0.969 0.626
Se 0.969 0.799 0.126
S 0.118 0.637 0.630
S 0.637 0.118 0.130

Properties
As for the density: 4.9 g/cm³. Its space group is Cc. The calculation puts the electronic total energy at -37.31 eV/cell.

---

No. 16
Computed, not measured: DySnGe after structural relaxation at the PBE level of DFT.

Cell lengths 7.792, 7.792, 4.126 Å; angles 90.00, 90.00, 120.00 degrees
Element x y z (fractional)
Dy 0.000 0.612 0.000
Dy 0.388 0.388 0.000
Dy 0.612 0.000 0.000
Sn 0.000 0.272 0.500
Sn 0.272 0.000 0.500
Sn 0.728 0.728 0.500
Ge 0.000 0.000 0.000
Ge 0.333 0.667 0.500
Ge 0.667 0.333 0.500

Properties
As for the density: 8.1 g/cm³. Its space group is P-62m. The calculation puts the electronic total energy at -43.91 eV/cell. The total magnetic moment is 0.04 μB/cell.

---

No. 17
Computed, not measured: LuHf3Pb2C2 after structural relaxation at the PBE level of DFT.

Cell lengths 3.409, 3.409, 14.961 Å; angles 90.00, 90.00, 120.00 degrees
Element x y z (fractional)
Lu 0.000 0.000 0.000
Hf 0.000 0.000 0.658
Hf 0.667 0.333 0.167
Hf 0.667 0.333 0.499
Pb 0.000 0.000 0.333
Pb 0.667 0.333 0.825
C 0.333 0.667 0.091
C 0.333 0.667 0.579

Properties
As for the density: 12.7 g/cm³. Its space group is P3m1. The calculation puts the electronic total energy at -65.20 eV/cell. The total magnetic moment is 0.00 μB/cell.

---

No. 18
Computed, not measured: BeCdSO after structural relaxation at the PBE level of DFT.

Cell lengths 3.313, 3.313, 11.447 Å; angles 90.00, 90.00, 90.00 degrees
Element x y z (fractional)
Be 0.250 0.750 0.000
Be 0.750 0.250 0.000
Cd 0.250 0.250 0.396
Cd 0.750 0.750 0.604
S 0.250 0.250 0.890
S 0.750 0.750 0.110
O 0.250 0.250 0.605
O 0.750 0.750 0.395

Properties
As for the density: 4.5 g/cm³. Its space group is P4/nmm. The calculation puts the electronic total energy at -34.34 eV/cell. As for the energy above the most stable polymorph in this dataset: 581 meV/atom.

---

No. 19
Computed, not measured: Mg7ZrH16 after structural relaxation at the PBE level of DFT.

Cell lengths 6.634, 6.634, 6.634 Å; angles 60.00, 60.00, 60.00 degrees
Element x y z (fractional)
Mg 0.000 0.000 0.000
Mg 0.000 0.000 0.500
Mg 0.000 0.500 0.000
Mg 0.000 0.500 0.500
Mg 0.500 0.000 0.000
Mg 0.500 0.000 0.500
Mg 0.500 0.500 0.000
Zr 0.500 0.500 0.500
H 0.126 0.126 0.126
H 0.126 0.126 0.621
H 0.126 0.621 0.126
H 0.127 0.624 0.624
H 0.376 0.376 0.376
H 0.376 0.376 0.873
H 0.376 0.873 0.376
H 0.379 0.874 0.874
H 0.621 0.126 0.126
H 0.624 0.127 0.624
H 0.624 0.624 0.127
H 0.624 0.624 0.624
H 0.873 0.376 0.376
H 0.874 0.379 0.874
H 0.874 0.874 0.379
H 0.874 0.874 0.874

Properties
As for the density: 2.2 g/cm³. Its space group is Fm-3m. The calculation puts the electronic total energy at -76.96 eV/cell. The total magnetic moment is 1.55 μB/cell.

---

No. 20
Computed, not measured: CsZn2BCl2O3 after structural relaxation at the PBE level of DFT.

Cell lengths 9.858, 9.858, 9.858 Å; angles 29.50, 29.50, 29.50 degrees
Element x y z (fractional)
Cs 0.000 0.000 0.000
Zn 0.192 0.192 0.192
Zn 0.808 0.808 0.808
B 0.500 0.500 0.500
Cl 0.272 0.272 0.272
Cl 0.728 0.728 0.728
O 0.225 0.500 0.775
O 0.500 0.775 0.225
O 0.775 0.225 0.500

Properties
As for the density: 3.2 g/cm³. Its space group is R32. The calculation puts the electronic total energy at -45.27 eV/cell.

---

No. 21
Computed, not measured: Nb2CoPd after structural relaxation at the PBE level of DFT.

Cell lengths 4.424, 4.424, 4.424 Å; angles 60.00, 60.00, 60.00 degrees
Element x y z (fractional)
Nb 0.000 0.000 0.000
Nb 0.250 0.250 0.250
Co 0.750 0.750 0.750
Pd 0.500 0.500 0.500

Properties
As for the density: 9.5 g/cm³. Its formation enthalpy at 0 K is 0.03 eV/atom. Its space group is F-43m. The calculation puts the electronic total energy at -32.34 eV/cell. The total magnetic moment is 0.03 μB/cell.

---

No. 22
Computed, not measured: ZrBeAsO after structural relaxation at the PBE level of DFT.

Cell lengths 2.931, 6.405, 6.211 Å; angles 90.00, 90.00, 90.00 degrees
Element x y z (fractional)
Zr 0.000 0.004 0.000
Zr 0.000 0.996 0.500
Be 0.500 0.356 0.293
Be 0.500 0.644 0.793
As 0.500 0.291 0.746
As 0.500 0.709 0.246
O 0.000 0.263 0.254
O 0.000 0.737 0.754

Properties
As for the density: 5.4 g/cm³. Its space group is Pmc2_1. The calculation puts the electronic total energy at -54.88 eV/cell. As for the energy above the most stable polymorph in this dataset: 58 meV/atom. The total magnetic moment is 0.02 μB/cell.

---

No. 23
Computed, not measured: PrSm2S3 after structural relaxation at the PBE level of DFT.

Cell lengths 4.031, 4.031, 9.910 Å; angles 90.00, 90.00, 120.00 degrees
Element x y z (fractional)
Pr 0.000 0.000 0.000
Sm 0.333 0.667 0.664
Sm 0.667 0.333 0.336
S 0.000 0.000 0.500
S 0.333 0.667 0.174
S 0.667 0.333 0.826

Properties
As for the density: 6.4 g/cm³. Its space group is P-3m1. The calculation puts the electronic total energy at -38.74 eV/cell. The total magnetic moment is 0.00 μB/cell.

---

No. 24
Computed, not measured: SmSnTe after structural relaxation at the PBE level of DFT.

Cell lengths 5.198, 5.198, 5.198 Å; angles 60.00, 60.00, 60.00 degrees
Element x y z (fractional)
Sm 0.000 0.000 0.000
Sn 0.500 0.500 0.500
Te 0.250 0.250 0.250

Properties
As for the density: 6.6 g/cm³. Its space group is F-43m. The calculation puts the electronic total energy at -13.07 eV/cell. The total magnetic moment is 0.01 μB/cell.